(1)
FeOs2, relaxed, DFT PBE; E = -10.25 eV per atom; formation energy = 6 kJ per mole of atoms
1.0
-0.630 -2.160 1.490
2.808 -1.717 -3.746
5.780 -0.030 2.398
Os Fe
4 2
Direct
0.050 0.099 0.393
0.998 0.996 0.997
0.724 0.449 0.059
0.672 0.345 0.663
0.390 0.780 0.719
0.332 0.664 0.336

(2)
Fe3Os, relaxed, DFT PBE; E = -9.07 eV per atom; formation energy = 8 kJ per mole of atoms
1.0
2.833 0.000 0.000
0.000 2.833 0.000
0.000 0.000 6.065
Fe Os
3 1
Direct
0.000 0.000 0.485
0.000 0.000 0.015
0.500 0.500 0.250
0.500 0.500 0.750

Question: The highest E belongs to which entry?
Answer: Fe3Os

Question: What is the formula in the second record?
Answer: Fe3Os

Question: Which of these has the lowest E?
Answer: FeOs2

Question: Which formula does entry 1 have?
Answer: FeOs2